No. 1
DFT (PBE-GGA) results for Mg2ReTeMo after structural relaxation. Values from VASP.

Results
Raw formation energy, eV per atom: 1.2504
Raw total energy, eV/atom: -4.67

Quantum ESPRESSO input file:
```
&SYSTEM
  ibrav = 0, nat = 5, ntyp = 4
/
ATOMIC_SPECIES
Re 186.21 Re.upf
Mg 24.30 Mg.upf
Te 127.60 Te.upf
Mo 95.94 Mo.upf
CELL_PARAMETERS angstrom
-0.6195 4.7714 -1.7341
-4.8388 -0.2253 1.1088
0.9860 1.8268 4.6742
ATOMIC_POSITIONS angstrom
Re 0.0000 0.0000 0.0000
Mg -0.3098 2.3857 -0.8670
Mg 0.4930 0.9134 2.3371
Te -2.4194 -0.1126 0.5544
Mo -2.2362 3.1864 2.0244
```

***

No. 2
DFT (PBE-GGA) results for Pm2Pu2In3 after structural relaxation. Values from VASP.

Results
Raw total energy, eV/atom: -6.87

Quantum ESPRESSO input file:
```
&SYSTEM
  ibrav = 0, nat = 7, ntyp = 3
/
ATOMIC_SPECIES
Pu 244.00 Pu.upf
In 114.82 In.upf
Pm 145.00 Pm.upf
CELL_PARAMETERS angstrom
-1.6925 4.4836 -0.4255
-2.3209 -1.0902 -2.2562
-8.2709 0.2551 8.3849
ATOMIC_POSITIONS angstrom
Pu -5.1953 0.8435 2.3515
Pu -7.0890 2.8050 3.3517
In -3.9320 3.8844 2.1678
In -6.0314 0.8543 5.7916
In 0.0000 0.0000 0.0000
Pm -9.1674 2.2489 5.7586
Pm -3.1168 1.3996 -0.0553
```

***

No. 3
DFT (PBE-GGA) results for TlZnCl5 after structural relaxation. Values from VASP.

Results
Raw formation energy, eV per atom: -0.8168
Raw total energy, eV/atom: -2.66

Quantum ESPRESSO input file:
```
&SYSTEM
  ibrav = 0, nat = 14, ntyp = 3
/
ATOMIC_SPECIES
Cl 35.45 Cl.upf
Tl 204.38 Tl.upf
Zn 65.41 Zn.upf
CELL_PARAMETERS angstrom
-1.6575 0.8910 6.7426
4.0681 -5.4359 1.7052
5.4093 7.6831 -3.5022
ATOMIC_POSITIONS angstrom
Cl 3.4867 3.0473 -0.1204
Cl 3.7284 3.9590 3.4243
Cl 0.6065 0.5824 5.5426
Cl 5.9829 6.0387 -1.0416
Cl 4.3333 0.0909 5.0660
Cl 1.0394 1.7948 2.0391
Cl 6.7806 1.3433 2.9065
Cl 1.8370 -2.9006 5.9871
Cl 4.0915 -0.8208 1.5212
Cl 7.2134 2.5558 -0.5970
Tl -0.8288 0.4455 3.3713
Tl 1.8759 4.2871 1.6202
Zn 5.3411 3.8727 -1.1144
Zn 2.4789 -0.7345 6.0600
```

***

No. 4
DFT (PBE-GGA) results for SrAc4In after structural relaxation. Values from VASP.

Results
Raw total energy, eV/atom: -3.24

Quantum ESPRESSO input file:
```
&SYSTEM
  ibrav = 0, nat = 6, ntyp = 3
/
ATOMIC_SPECIES
In 114.82 In.upf
Ac 227.00 Ac.upf
Sr 87.62 Sr.upf
CELL_PARAMETERS angstrom
-5.9431 4.0121 -1.2924
-5.6883 -2.9321 -3.4833
-6.1759 -1.3675 3.6161
ATOMIC_POSITIONS angstrom
In 0.0000 0.0000 0.0000
Ac -8.0327 0.5107 -2.5529
Ac -11.1524 -0.1801 -0.7262
Ac -8.1503 -2.2067 -0.0734
Ac -8.2790 1.3011 1.0333
Sr -4.4518 -0.0719 -0.2899
```

***

No. 5
DFT (PBE-GGA) results for SrNiBr2 after structural relaxation. Values from VASP.

Results
Raw formation energy, eV per atom: -0.3087
Raw total energy, eV/atom: -3.01

Quantum ESPRESSO input file:
```
&SYSTEM
  ibrav = 0, nat = 4, ntyp = 3
/
ATOMIC_SPECIES
Br 79.90 Br.upf
Sr 87.62 Sr.upf
Ni 58.69 Ni.upf
CELL_PARAMETERS angstrom
5.2513 0.0000 0.0000
2.6257 4.5478 0.0000
2.6257 1.5159 4.2877
ATOMIC_POSITIONS angstrom
Br 0.0000 0.0000 0.0000
Br 2.6257 1.5159 1.0719
Sr 7.8770 4.5478 3.2158
Ni 5.2513 3.0319 2.1438
```

***

No. 6
DFT (PBE-GGA) results for LiPm4Hg after structural relaxation. Values from VASP.

Results
Raw total energy, eV/atom: -3.18

Quantum ESPRESSO input file:
```
&SYSTEM
  ibrav = 0, nat = 12, ntyp = 3
/
ATOMIC_SPECIES
Pm 145.00 Pm.upf
Li 6.94 Li.upf
Hg 200.59 Hg.upf
CELL_PARAMETERS angstrom
-5.2380 3.2719 -5.4615
-4.9783 -1.1702 6.4666
6.5174 4.7763 1.6368
ATOMIC_POSITIONS angstrom
Pm -2.0409 1.6624 2.8156
Pm -4.8480 2.5204 -0.2008
Pm 0.2047 1.4042 -0.6638
Pm 1.2005 4.3472 2.8377
Pm -1.6645 5.1808 -0.2492
Pm -1.4768 2.9841 5.7854
Pm 1.0389 6.6515 -3.1573
Pm -2.2001 3.9257 -3.0694
Li 0.7177 1.8138 4.0568
Li -2.6060 0.5361 0.2564
Hg -7.6254 1.5687 0.7502
Hg -4.3018 2.8464 4.5507
```

***

No. 7
DFT (PBE-GGA) results for SmYIn4 after structural relaxation. Values from VASP.

Results
Raw total energy, eV/atom: -4.12

Quantum ESPRESSO input file:
```
&SYSTEM
  ibrav = 0, nat = 6, ntyp = 3
/
ATOMIC_SPECIES
In 114.82 In.upf
Y 88.91 Y.upf
Sm 150.36 Sm.upf
CELL_PARAMETERS angstrom
4.7149 0.0030 1.7349
2.3650 5.6272 0.8410
0.4522 -1.0698 6.0512
ATOMIC_POSITIONS angstrom
In 1.5507 0.0567 3.0618
In 5.3437 2.2718 7.3016
In 2.1882 2.2886 1.3254
In 5.9812 4.5038 5.5652
Y 3.7659 2.2802 4.3135
Sm 4.7148 0.0030 1.7348
```

***

No. 8
DFT (PBE-GGA) results for YAg2Rh after structural relaxation. Values from VASP.

Results
Raw total energy, eV/atom: -5.20

Quantum ESPRESSO input file:
```
&SYSTEM
  ibrav = 0, nat = 4, ntyp = 3
/
ATOMIC_SPECIES
Rh 102.91 Rh.upf
Ag 107.87 Ag.upf
Y 88.91 Y.upf
CELL_PARAMETERS angstrom
5.0927 -0.0126 -0.0123
1.4560 4.8801 0.0123
-3.2666 -2.4442 3.0481
ATOMIC_POSITIONS angstrom
Rh 3.2738 2.4334 0.0000
Ag 2.5499 -0.0117 1.5179
Ag 6.5482 4.8672 0.0000
Y 0.7318 2.4348 1.5302
```

***

No. 9
DFT (PBE-GGA) results for BaNbOs2 after structural relaxation. Values from VASP.

Results
Raw total energy, eV/atom: -7.53

Quantum ESPRESSO input file:
```
&SYSTEM
  ibrav = 0, nat = 4, ntyp = 3
/
ATOMIC_SPECIES
Nb 92.91 Nb.upf
Os 190.23 Os.upf
Ba 137.33 Ba.upf
CELL_PARAMETERS angstrom
2.9652 -3.6435 -1.1213
-1.5059 -3.5207 -2.9430
1.8090 -0.3549 -4.4639
ATOMIC_POSITIONS angstrom
Nb 0.0000 0.0000 0.0000
Os 0.8171 -1.8798 -2.1320
Os 2.4513 -5.6393 -6.3961
Ba 1.6342 -3.7595 -4.2641
```

***

No. 10
DFT (PBE-GGA) results for LiCl2 after structural relaxation. Values from VASP.

Results
Raw formation energy, eV per atom: -0.8485
Raw total energy, eV/atom: -2.72

Quantum ESPRESSO input file:
```
&SYSTEM
  ibrav = 0, nat = 3, ntyp = 2
/
ATOMIC_SPECIES
Cl 35.45 Cl.upf
Li 6.94 Li.upf
CELL_PARAMETERS angstrom
6.2961 0.1612 0.0000
4.2251 4.6708 0.0000
-5.2606 -2.4160 2.4812
ATOMIC_POSITIONS angstrom
Cl 4.0870 1.8770 0.0000
Cl 6.4342 2.9550 0.0000
Li 0.0000 0.0000 0.0000
```

***

No. 11
DFT (PBE-GGA) results for Rb4La3CeSe8 after structural relaxation. Values from VASP.

Results
Raw formation energy, eV per atom: -1.7790
Raw total energy, eV/atom: -5.06

Quantum ESPRESSO input file:
```
&SYSTEM
  ibrav = 0, nat = 16, ntyp = 4
/
ATOMIC_SPECIES
Ce 140.12 Ce.upf
Se 78.96 Se.upf
Rb 85.47 Rb.upf
La 138.91 La.upf
CELL_PARAMETERS angstrom
-1.2893 4.2924 -7.7286
-1.4717 -8.3154 -4.3727
-5.0555 1.9656 7.0989
ATOMIC_POSITIONS angstrom
Ce -0.7359 -4.1577 -2.1864
Se -4.1377 1.8566 -3.4424
Se -6.8757 -0.7609 -1.8774
Se -1.5904 0.8663 -7.0193
Se -3.6788 -3.9140 -1.5601
Se -0.9408 -1.2965 -3.1251
Se -6.2261 -2.9237 2.0168
Se -4.3443 -1.7638 -5.4187
Se -3.4722 -0.2936 0.4162
Rb -0.6447 2.1462 -3.8643
Rb -2.5278 0.9828 3.5494
Rb 0.0000 0.0000 0.0000
Rb -3.1724 3.1290 -0.3149
La -3.9083 -1.0287 -2.5012
La -3.2636 -3.1749 1.3631
La -1.3805 -2.0115 -6.0507
```